First-principles (PBE-GGA) data for crystalline DyNbTcRu at its relaxed geometry, as listed in the Alexandria database.

Summary:
Energy of formation (kJ/mol of formula units): -73
E_tot (eV per atom): -8.77
N(E_F) (states/eV per cell): 3.34

a b c (Å): 4.641 4.641 4.641
angles (deg): 60.00 60.00 60.00
Positions (direct):
Ru  0.750  0.750  0.750
Nb  0.500  0.500  0.500
Tc  0.250  0.250  0.250
Dy  0.000  0.000  0.000